Record 1
The following is a PBE calculation of a relaxed PrSmTlCu crystal, from Alexandria via LeMat-Bulk.

Calculated values
crystal system = cubic
formation enthalpy at 0 K = -0.21 eV/atom

Cell lengths 7.5486, 7.5486, 7.5486 Å; angles 90.00, 90.00, 90.00 degrees
Closest atoms and distances in Å follow each position.
Space group F-43m (No. 216)
Asymmetric unit:
Pr 0.0000 0.0000 0.0000 x4  4 Tl 3.27, 4 Cu 3.27
Sm 0.0000 0.0000 0.5000 x4  4 Cu 3.27, 4 Tl 3.27
Tl 0.2500 0.2500 0.7500 x4  4 Pr 3.27, 4 Sm 3.27
Cu 0.2500 0.2500 0.2500 x4  4 Pr 3.27, 4 Sm 3.27


Record 2
The following is a PBE calculation of a relaxed PaHgSb crystal, from Alexandria via LeMat-Bulk.

Calculated values
energy above the most stable polymorph in this dataset = 0.000 eV per atom
crystal system = tetragonal

Cell lengths 4.3981, 4.3981, 16.5451 Å; angles 90.00, 90.00, 90.00 degrees
Closest atoms and distances in Å follow each position.
Space group I4/mmm (No. 139)
Asymmetric unit:
Pa 0.0000 0.0000 0.1487 x4  5 Sb 3.10-3.12, 4 Hg 3.30
Hg 0.0000 0.5000 0.0000 x4  4 Hg 3.11, 4 Pa 3.30
Sb 0.0000 0.0000 0.3360 x4  5 Pa 3.10-3.12


Record 3
The following is a PBE calculation of a relaxed La2YZn crystal, from Alexandria via LeMat-Bulk.

Calculated values
energy above the most stable polymorph in this dataset = 0.232 eV per atom
crystal system = cubic
formation enthalpy at 0 K = 0.07 eV/atom

Cell lengths 7.7491, 7.7491, 7.7491 Å; angles 90.00, 90.00, 90.00 degrees
Closest atoms and distances in Å follow each position.
Space group F-43m (No. 216)
Asymmetric unit:
La 0.0000 0.0000 0.0000 x4  4 La 3.36, 4 Zn 3.36
La 0.2500 0.2500 0.2500 x4  4 La 3.36, 4 Y 3.36
Y 0.0000 0.0000 0.5000 x4  4 La 3.36, 4 Zn 3.36
Zn 0.2500 0.2500 0.7500 x4  4 La 3.36, 4 Y 3.36


Record 4
The following is a PBE calculation of a relaxed Ba3TcN4 crystal, from Alexandria via LeMat-Bulk.

Calculated values
crystal system = orthorhombic

Cell lengths 8.1487, 7.4652, 6.0673 Å; angles 90.00, 90.00, 90.00 degrees
Closest atoms and distances in Å follow each position.
Space group Pmn2_1 (No. 31)
Asymmetric unit:
Ba 0.0000 0.1174 0.0000 x2  3 N 2.57-2.85
Ba 0.2394 0.3434 0.5028 x4  4 N 2.56-2.85
Tc 0.0000 0.8273 0.4639 x2  4 N 1.85-1.87
N 0.0000 0.0744 0.5094 x2  1 Tc 1.87
N 0.0000 0.7993 0.1613 x2  1 Tc 1.85
N 0.1888 0.7180 0.5653 x4  1 Tc 1.85


Record 5
The following is a PBE calculation of a relaxed BaBi4Pd9 crystal, from Alexandria via LeMat-Bulk.

Calculated values
crystal system = tetragonal
formation enthalpy at 0 K = -0.34 eV/atom

Cell lengths 9.2390, 9.2390, 13.8207 Å; angles 90.00, 90.00, 90.00 degrees
Closest atoms and distances in Å follow each position.
Space group I4/mcm (No. 140)
Asymmetric unit:
Ba 0.0000 0.0000 0.2500 x4  16 Pd 3.81-3.98, 8 Bi 3.83
Bi 0.1772 0.3228 0.1229 x16  9 Pd 2.78-3.02
Pd 0.0000 0.5000 0.0000 x4  8 Pd 2.80-2.95, 4 Bi 2.87
Pd 0.0649 0.2040 0.5000 x16  6 Pd 2.80-3.04, 4 Bi 2.94-3.02
Pd 0.1191 0.3809 0.3185 x16  4 Bi 2.78-2.90, 6 Pd 2.90-3.11


Record 6
The following is a PBE calculation of a relaxed Ho2LuIn crystal, from Alexandria via LeMat-Bulk.

Calculated values
energy above the most stable polymorph in this dataset = 0.123 eV per atom
crystal system = cubic
formation enthalpy at 0 K = -0.14 eV/atom

Cell lengths 7.6330, 7.6330, 7.6330 Å; angles 90.00, 90.00, 90.00 degrees
Closest atoms and distances in Å follow each position.
Space group Fm-3m (No. 225)
Asymmetric unit:
Ho 0.2500 0.2500 0.2500 x8  4 In 3.31, 4 Lu 3.31
Lu 0.0000 0.0000 0.0000 x4  8 Ho 3.31
In 0.0000 0.0000 0.5000 x4  8 Ho 3.31


Record 7
The following is a PBE calculation of a relaxed LaY2Rh crystal, from Alexandria via LeMat-Bulk.

Calculated values
energy above the most stable polymorph in this dataset = 0.033 eV per atom
crystal system = orthorhombic
formation enthalpy at 0 K = -0.46 eV/atom

Cell lengths 3.8177, 12.3231, 9.7310 Å; angles 90.00, 90.00, 90.00 degrees
Closest atoms and distances in Å follow each position.
Space group Cmcm (No. 63)
Asymmetric unit:
La 0.0000 0.0788 0.2500 x4  2 Rh 2.88
Y 0.0000 0.3586 0.0698 x8  2 Rh 2.89
Rh 0.0000 0.2459 0.7500 x4  2 La 2.88, 4 Y 2.89


Record 8
The following is a PBE calculation of a relaxed ThNbW crystal, from Alexandria via LeMat-Bulk.

Calculated values
crystal system = orthorhombic
formation enthalpy at 0 K = 0.40 eV/atom

Cell lengths 5.4881, 9.6946, 20.1493 Å; angles 90.00, 90.00, 90.00 degrees
Closest atoms and distances in Å follow each position.
Space group Fddd (No. 70, origin choice 2)
Asymmetric unit:
Th 0.1250 0.2957 0.1250 x16  4 W 2.99-3.00, 3 Th 3.15-3.31
Nb 0.1250 0.1250 0.5436 x16  4 W 2.88-2.93
W 0.1250 0.1250 0.0010 x16  2 W 2.79, 4 Nb 2.88-2.93, 4 Th 2.99-3.00


Record 9
The following is a PBE calculation of a relaxed Mn7FeC2 crystal, from Alexandria via LeMat-Bulk.

Calculated values
crystal system = orthorhombic
formation enthalpy at 0 K = 0.29 eV/atom

Cell lengths 6.3118, 9.8636, 3.7289 Å; angles 90.00, 90.00, 90.00 degrees
Closest atoms and distances in Å follow each position.
Space group Cmmm (No. 65)
Asymmetric unit:
Mn 0.0000 0.0000 0.0000 x2  2 C 1.96
Mn 0.0000 0.2442 0.5000 x4  2 C 1.92
Mn 0.1925 0.3686 0.0000 x8  2 C 2.05-2.07
Fe 0.0000 0.5000 0.5000 x2  10 Mn 2.52-2.58
C 0.0000 0.1987 0.0000 x4  7 Mn 1.92-2.07


Record 10
The following is a PBE calculation of a relaxed Hg12S5I3 crystal, from Alexandria via LeMat-Bulk.

Calculated values
crystal system = cubic

Cell lengths 17.2556, 17.2556, 17.2556 Å; angles 90.00, 90.00, 90.00 degrees
Closest atoms and distances in Å follow each position.
Space group Ia-3d (No. 230)
Asymmetric unit:
Hg 0.0581 0.0698 0.6311 x96  2 S 2.64-2.75
S 0.0000 0.0000 0.0000 x16  6 Hg 2.75
S 0.0000 0.2500 0.3750 x24  4 Hg 2.64
I 0.0000 0.2500 0.1250 x24  4 Hg 3.27


Record 11
The following is a PBE calculation of a relaxed Y2Tc crystal, from Alexandria via LeMat-Bulk.

Calculated values
energy above the most stable polymorph in this dataset = 0.249 eV per atom
crystal system = cubic
formation enthalpy at 0 K = 0.24 eV/atom

Cell lengths 6.8594, 6.8594, 6.8594 Å; angles 90.00, 90.00, 90.00 degrees
Closest atoms and distances in Å follow each position.
Space group Pa-3 (No. 205)
Asymmetric unit:
Y 0.1691 0.1691 0.1691 x8  3 Tc 2.80
Tc 0.0000 0.0000 0.5000 x4  6 Y 2.80


Record 12
The following is a PBE calculation of a relaxed ErTh2H8 crystal, from Alexandria via LeMat-Bulk.

Calculated values
crystal system = orthorhombic

Cell lengths 3.9208, 4.8065, 12.1593 Å; angles 90.00, 90.00, 90.00 degrees
Closest atoms and distances in Å follow each position.
Space group Immm (No. 71)
Asymmetric unit:
Er 0.0000 0.0000 0.0000 x2  8 H 2.18-2.29
Th 0.0000 0.0000 0.3325 x4  12 H 2.33-2.53
H 0.0000 0.2399 0.1523 x8  4 H 2.17-2.35, 1 Er 2.18, 2 Th 2.33
H 0.0000 0.2545 0.5000 x4  2 Er 2.29, 2 H 2.36-2.45, 2 Th 2.38
H 0.0000 0.5000 0.2985 x4  6 H 2.17-2.35


Record 13
The following is a PBE calculation of a relaxed Tb3PrDy3 crystal, from Alexandria via LeMat-Bulk.

Calculated values
energy above the most stable polymorph in this dataset = 0.000 eV per atom
crystal system = hexagonal
formation enthalpy at 0 K = 0.02 eV/atom

Cell lengths 9.6075, 9.6075, 5.7134 Å; angles 90.00, 90.00, 120.00 degrees
Closest atoms and distances in Å follow each position.
Space group P6_3/m (No. 176)
Asymmetric unit:
Tb 0.0484 0.8117 0.2500 x6  6 Tb 3.53-3.60, 5 Dy 3.55-3.65, 1 Pr 3.64
Pr 0.3333 0.6667 0.2500 x2  9 Dy 3.54-3.63, 3 Tb 3.64
Dy 0.0957 0.6194 0.7500 x6  3 Pr 3.54-3.63, 4 Dy 3.55-3.63, 5 Tb 3.55-3.65


Record 14
The following is a PBE calculation of a relaxed CeNi2AsN crystal, from Alexandria via LeMat-Bulk.

Calculated values
crystal system = orthorhombic

Cell lengths 3.5872, 11.3928, 6.8500 Å; angles 90.00, 90.00, 90.00 degrees
Closest atoms and distances in Å follow each position.
Space group Cmcm (No. 63)
Asymmetric unit:
Ce 0.0000 0.0326 0.2500 x4  4 N 2.51
Ni 0.0000 0.3325 0.0543 x8  1 N 1.94
As 0.0000 0.2366 0.7500 x4  6 Ni 2.35-2.37
N 0.0000 0.5000 0.0000 x4  2 Ni 1.94


Record 15
The following is a PBE calculation of a relaxed Sc2Tl3CrSe6 crystal, from Alexandria via LeMat-Bulk.

Calculated values
crystal system = monoclinic

Cell lengths 6.7713, 11.7373, 8.0318 Å; angles 90.00, 106.34, 90.00 degrees
Closest atoms and distances in Å follow each position.
Space group C2/m (No. 12)
Asymmetric unit:
Sc 0.0000 0.1663 0.0000 x4  6 Se 2.73-2.75
Tl 0.0000 0.0000 0.5000 x2  6 Se 3.27-3.33
Tl 0.0000 0.3269 0.5000 x4  6 Se 3.27-3.32
Cr 0.0000 0.5000 0.0000 x2  6 Se 2.60-2.63
Se 0.2217 0.3408 0.1880 x8  1 Cr 2.60, 2 Sc 2.73
Se 0.2461 0.0000 0.1942 x4  1 Cr 2.63, 2 Sc 2.75


Record 16
The following is a PBE calculation of a relaxed La3Ag2Au4 crystal, from Alexandria via LeMat-Bulk.

Calculated values
crystal system = monoclinic
formation enthalpy at 0 K = -0.66 eV/atom

Cell lengths 11.1047, 4.8102, 9.1409 Å; angles 90.00, 115.03, 90.00 degrees
Closest atoms and distances in Å follow each position.
Space group C2/m (No. 12)
Asymmetric unit:
La 0.0000 0.0000 0.0000 x2  8 Au 3.31-3.39, 4 Ag 3.45, 2 La 3.70
La 0.1572 0.5000 0.6785 x4  8 Au 3.23-3.41, 4 Ag 3.30-3.38
Ag 0.1304 0.5000 0.2965 x4  3 Au 2.76-2.77
Au 0.0676 0.0000 0.3978 x4  2 Ag 2.77, 1 Au 2.85
Au 0.2202 0.5000 0.0575 x4  1 Ag 2.76, 2 Au 2.81


Record 17
The following is a PBE calculation of a relaxed Ce6Pt2Pb crystal, from Alexandria via LeMat-Bulk.

Calculated values
crystal system = monoclinic
formation enthalpy at 0 K = -0.57 eV/atom

Cell lengths 10.8781, 4.6162, 9.1865 Å; angles 90.00, 90.39, 90.00 degrees
Closest atoms and distances in Å follow each position.
Space group C2/m (No. 12)
Asymmetric unit:
Ce 0.0770 0.0000 0.1451 x4  3 Ce 2.94-3.14, 3 Pt 2.99
Ce 0.0877 0.5000 0.8180 x4  2 Ce 2.94, 3 Pt 3.01-3.14
Ce 0.2119 0.5000 0.4094 x4  1 Pt 2.83, 2 Ce 2.96
Pt 0.2474 0.5000 0.1045 x4  7 Ce 2.83-3.14, 2 Pt 3.00
Pb 0.0000 0.0000 0.5000 x2  8 Ce 3.24-3.37


Record 18
The following is a PBE calculation of a relaxed BaHf2Sc crystal, from Alexandria via LeMat-Bulk.

Calculated values
energy above the most stable polymorph in this dataset = 0.000 eV per atom
crystal system = cubic
formation enthalpy at 0 K = 0.81 eV/atom

Cell lengths 7.5650, 7.5650, 7.5650 Å; angles 90.00, 90.00, 90.00 degrees
Closest atoms and distances in Å follow each position.
Space group Fm-3m (No. 225)
Asymmetric unit:
Ba 0.0000 0.0000 0.0000 x4  8 Hf 3.28
Hf 0.2500 0.2500 0.2500 x8  4 Ba 3.28, 4 Sc 3.28
Sc 0.0000 0.0000 0.5000 x4  8 Hf 3.28


Record 19
The following is a PBE calculation of a relaxed ZnOs4Cl crystal, from Alexandria via LeMat-Bulk.

Calculated values
crystal system = cubic

Cell lengths 7.4001, 7.4001, 7.4001 Å; angles 90.00, 90.00, 90.00 degrees
Closest atoms and distances in Å follow each position.
Space group F-43m (No. 216)
Asymmetric unit:
Zn 0.0000 0.0000 0.0000 x4  12 Os 3.07, 4 Cl 3.20
Os 0.1250 0.1250 0.3750 x16  6 Os 2.62
Cl 0.2500 0.2500 0.7500 x4  12 Os 3.07, 4 Zn 3.20


Number 1: uncorrected energy -0.309 Ry per atom. Number 2: uncorrected energy -0.361 Ry per atom. Number 3: uncorrected energy -0.318 Ry per atom. Number 4: uncorrected energy -0.495 Ry per atom. Number 5: uncorrected energy -0.362 Ry per atom. Number 6: uncorrected energy -0.312 Ry per atom. Number 7: uncorrected energy -0.497 Ry per atom. Number 8: uncorrected energy -0.716 Ry per atom. Number 9: uncorrected energy -0.648 Ry per atom. Number 10: uncorrected energy -0.100 Ry per atom. Number 11: uncorrected energy -0.553 Ry per atom. Number 12: uncorrected energy -0.345 Ry per atom. Number 13: uncorrected energy -0.340 Ry per atom. Number 14: uncorrected energy -0.511 Ry per atom. Number 15: uncorrected energy -0.380 Ry per atom. Number 16: uncorrected energy -0.323 Ry per atom. Number 17: uncorrected energy -0.462 Ry per atom. Number 18: uncorrected energy -0.458 Ry per atom. Number 19: uncorrected energy -0.490 Ry per atom.